This record from Alexandria via LeMat-Bulk describes crystalline CeEr2Pd at its relaxed geometry. The functional is PBE-GGA.

The structure belongs to space group R3m (No. 160, hexagonal axes); the cell edges are 3.6108, 3.6108 and 29.3055 Å and the angles 90.00°, 90.00° and 120.00°. The inequivalent atoms are Ce at (0.0000, 0.0000, 0.0000), Er at (0.0000, 0.0000, 0.5646), Er at (0.0000, 0.0000, 0.7662) and Pd at (0.0000, 0.0000, 0.1652).

As for the energy relative to the elements: -0.98 eV/f.u. As for the density of states at the Fermi level: 23.07 states/eV/cell. The magnetic moment comes out at 1.493 μB/f.u.

This record from Alexandria via LeMat-Bulk describes crystalline CeEr2Pd at its relaxed geometry. The functional is PBE-GGA.

The structure belongs to space group P4/mmm (No. 123); the cell edges are 3.4966, 3.4966 and 8.4182 Å and the angles 90.00°, 90.00° and 90.00°. The inequivalent atoms are Ce at (0.0000, 0.0000, 0.0000), Er at (0.5000, 0.5000, 0.3005) and Pd at (0.0000, 0.0000, 0.5000).

As for the energy relative to the elements: -1.59 eV/f.u. As for the density of states at the Fermi level: 6.89 states/eV/cell. The magnetic moment comes out at 0.961 μB/f.u.

This record from Alexandria via LeMat-Bulk describes crystalline CeEr2Pd at its relaxed geometry. The functional is PBE-GGA.

The structure belongs to space group R-3m (No. 166, hexagonal axes); the cell edges are 3.5471, 3.5471 and 29.6657 Å and the angles 90.00°, 90.00° and 120.00°. The inequivalent atoms are Ce at (0.0000, 0.0000, 0.0000), Er at (0.0000, 0.0000, 0.2340) and Pd at (0.0000, 0.0000, 0.5000).

As for the energy relative to the elements: -1.00 eV/f.u. As for the density of states at the Fermi level: 21.30 states/eV/cell. The magnetic moment comes out at 1.214 μB/f.u.

This record from Alexandria via LeMat-Bulk describes crystalline CeErPd6 at its relaxed geometry. The functional is PBE-GGA.

The structure belongs to space group P4/mmm (No. 123); the cell edges are 4.1251, 4.1251 and 8.2408 Å and the angles 90.00°, 90.00° and 90.00°. The inequivalent atoms are Ce at (0.0000, 0.0000, 0.0000), Er at (0.0000, 0.0000, 0.5000), Pd at (0.0000, 0.5000, 0.2494), Pd at (0.5000, 0.5000, 0.0000) and Pd at (0.5000, 0.5000, 0.5000).

As for the energy relative to the elements: -7.13 eV/f.u. As for the density of states at the Fermi level: 2.21 states/eV/cell. The magnetic moment comes out at 0.180 μB/f.u.

This record from Alexandria via LeMat-Bulk describes crystalline CeEr2Pd9 at its relaxed geometry. The functional is PBE-GGA.

The structure belongs to space group P4/mmm (No. 123); the cell edges are 4.1214, 4.1214 and 12.3314 Å and the angles 90.00°, 90.00° and 90.00°. The inequivalent atoms are Ce at (0.0000, 0.0000, 0.0000), Er at (0.0000, 0.0000, 0.3365), Pd at (0.0000, 0.5000, 0.1664), Pd at (0.0000, 0.5000, 0.5000), Pd at (0.5000, 0.5000, 0.0000) and Pd at (0.5000, 0.5000, 0.3329).

As for the energy relative to the elements: -10.72 eV/f.u. As for the density of states at the Fermi level: 7.07 states/eV/cell. The magnetic moment comes out at 0.000 μB/f.u.

This record from Alexandria via LeMat-Bulk describes crystalline CeErPd14 at its relaxed geometry. The functional is PBE-GGA.

The structure belongs to space group P4/mmm (No. 123); the cell edges are 5.7934, 5.7934 and 7.8745 Å and the angles 90.00°, 90.00° and 90.00°. The inequivalent atoms are Ce at (0.0000, 0.0000, 0.0000), Er at (0.5000, 0.5000, 0.0000), Pd at (0.0000, 0.0000, 0.5000), Pd at (0.0000, 0.5000, 0.0000), Pd at (0.0000, 0.5000, 0.5000), Pd at (0.2496, 0.2496, 0.2567) and Pd at (0.5000, 0.5000, 0.5000).

As for the energy relative to the elements: -6.89 eV/f.u. As for the density of states at the Fermi level: 18.71 states/eV/cell. The magnetic moment comes out at 0.000 μB/f.u.

This record from Alexandria via LeMat-Bulk describes crystalline CeEr4Pd5 at its relaxed geometry. The functional is PBE-GGA.

The structure belongs to space group P4/mmm (No. 123); the cell edges are 3.4506, 3.4506 and 17.9353 Å and the angles 90.00°, 90.00° and 90.00°. The inequivalent atoms are Ce at (0.0000, 0.0000, 0.0000), Er at (0.0000, 0.0000, 0.2048), Er at (0.0000, 0.0000, 0.4018), Pd at (0.5000, 0.5000, 0.1118), Pd at (0.5000, 0.5000, 0.3038) and Pd at (0.5000, 0.5000, 0.5000).

As for the energy relative to the elements: -8.57 eV/f.u. As for the density of states at the Fermi level: 11.67 states/eV/cell. The magnetic moment comes out at 1.143 μB/f.u.

This record from Alexandria via LeMat-Bulk describes crystalline CeErPdPt at its relaxed geometry. The functional is PBE-GGA.

The structure belongs to space group F-43m (No. 216); the cell edges are 7.0561, 7.0561 and 7.0561 Å and the angles 90.00°, 90.00° and 90.00°. The inequivalent atoms are Ce at (0.0000, 0.0000, 0.0000), Er at (0.0000, 0.0000, 0.5000), Pd at (0.2500, 0.2500, 0.2500) and Pt at (0.2500, 0.2500, 0.7500).

As for the energy relative to the elements: -3.73 eV/f.u. As for the density of states at the Fermi level: 28.23 states/eV/cell. The magnetic moment comes out at 0.677 μB/f.u.

This record from Alexandria via LeMat-Bulk describes crystalline CeErPdPt at its relaxed geometry. The functional is PBE-GGA.

The structure belongs to space group Amm2 (No. 38); the cell edges are 4.5736, 3.7247 and 10.6149 Å and the angles 90.00°, 90.00° and 90.00°. The inequivalent atoms are Ce at (0.0000, 0.0000, 0.0000), Er at (0.5000, 0.0000, 0.2736), Pd at (0.5000, 0.0000, 0.5474) and Pt at (0.0000, 0.0000, 0.7275).

As for the energy relative to the elements: -4.06 eV/f.u. As for the density of states at the Fermi level: 11.96 states/eV/cell. The magnetic moment comes out at 0.631 μB/f.u.

This record from Alexandria via LeMat-Bulk describes crystalline Ce2ErPdS5 at its relaxed geometry. The functional is PBE-GGA.

The structure belongs to space group Cmc2_1 (No. 36); the cell edges are 3.8715, 16.3312 and 11.9350 Å and the angles 90.00°, 90.00° and 90.00°. The inequivalent atoms are Ce at (0.0000, 0.1096, 0.0000), Ce at (0.0000, 0.1215, 0.3464), Er at (0.0000, 0.1766, 0.6740), Pd at (0.0000, 0.4468, 0.0698), S at (0.0000, 0.0090, 0.6733), S at (0.0000, 0.3041, 0.0082), S at (0.0000, 0.3056, 0.3344), S at (0.0000, 0.3415, 0.6709) and S at (0.0000, 0.4965, 0.3896).

As for the density of states at the Fermi level: 38.02 states/eV/cell. The calculation puts the formation energy from raw total energies at -165.7 kJ/mol of atoms. The magnetic moment comes out at 1.137 μB/f.u.